A plane-wave DFT calculation with PBEsol was carried out for a relaxed CaCo2Pd crystal.

Lattice parameters (Å, degrees): 4.3660 4.3660 4.3660 60.00 60.00 60.00
Sites, in units of the cell vectors:
Ca (0.0000, 0.0000, 0.0000)
Co (0.2500, 0.2500, 0.2500)
Co (0.7500, 0.7500, 0.7500)
Pd (0.5000, 0.5000, 0.5000)

Values from the calculation:
Size of the total moment, μB per formula unit: 2.98
Formation enthalpy at 0 K, meV/atom: 383